(1)
{
  "formula": "Tc2Ag2Au",
  "functional": "PBE-GGA",
  "state": "optimized geometry",
  "dft_energy_ev_per_atom": -5.39,
  "formation_energy_ev_per_atom": 0.553,
  "lattice": [[3.4567, 0.0000, 0.0000], [0.0000, 3.4567, 0.0000], [1.7283, 1.7283, 7.6247]],
  "species": ["Tc", "Tc", "Ag", "Ag", "Au"],
  "frac_coords": [[0.2500, 0.7500, 0.5000], [0.7500, 0.2500, 0.5000], [0.5978, 0.5978, 0.8045], [0.4022, 0.4022, 0.1955], [0.0000, 0.0000, 0.0000]]
}

---

(2)
{
  "formula": "Tc4AgAu",
  "functional": "PBE-GGA",
  "state": "optimized geometry",
  "dft_energy_ev_per_atom": -7.36,
  "formation_energy_ev_per_atom": 0.576,
  "lattice": [[0.0000, 3.6598, 3.6598], [3.6598, 0.0000, 3.6598], [3.6598, 3.6598, 0.0000]],
  "species": ["Au", "Tc", "Tc", "Tc", "Tc", "Ag"],
  "frac_coords": [[0.0000, 0.0000, 0.0000], [0.3749, 0.3749, 0.3749], [0.3749, 0.8754, 0.3749], [0.8754, 0.3749, 0.3749], [0.3749, 0.3749, 0.8754], [0.7500, 0.7500, 0.7500]]
}

---

(3)
{
  "formula": "TcAgAu2",
  "functional": "PBE-GGA",
  "state": "optimized geometry",
  "dft_energy_ev_per_atom": -4.51,
  "formation_energy_ev_per_atom": 0.432,
  "lattice": [[4.9916, -0.0559, 0.0000], [1.5813, 4.7348, 0.0000], [-3.2864, -2.3395, 2.9403]],
  "species": ["Tc", "Ag", "Au", "Au"],
  "frac_coords": [[0.5000, 0.5000, 0.0000], [0.7500, 0.2500, 0.5000], [0.2500, 0.7500, 0.5000], [0.0000, 0.0000, 0.0000]]
}

---

(4)
{
  "formula": "Tc2AgAu",
  "functional": "PBE-GGA",
  "state": "optimized geometry",
  "dft_energy_ev_per_atom": -6.59,
  "formation_energy_ev_per_atom": 0.130,
  "lattice": [[-5.9420, 6.4957, -4.1503], [-5.7442, 4.7072, -6.2907], [-7.6308, 4.2704, -4.2735]],
  "species": ["Au", "Tc", "Tc", "Ag"],
  "frac_coords": [[0.7468, 0.7468, 0.7468], [0.2566, 0.2566, 0.2566], [0.9935, 0.9935, 0.9935], [0.5030, 0.5030, 0.5030]]
}

---

(5)
{
  "formula": "TcAgAu2",
  "functional": "PBE-GGA",
  "state": "optimized geometry",
  "dft_energy_ev_per_atom": -4.57,
  "formation_energy_ev_per_atom": 0.375,
  "lattice": [[2.7521, 0.0000, 0.0000], [0.0000, 4.2039, 0.0000], [0.0000, 0.0000, 5.9177]],
  "species": ["Ag", "Au", "Au", "Tc"],
  "frac_coords": [[0.5000, 0.5000, 0.7474], [0.5000, 0.5000, 0.2695], [0.0000, 0.0000, 0.9922], [0.0000, 0.0000, 0.4909]]
}

---

(6)
{
  "formula": "Tc2AgAu",
  "functional": "PBE-GGA",
  "state": "optimized geometry",
  "dft_energy_ev_per_atom": -6.29,
  "formation_energy_ev_per_atom": 0.427,
  "lattice": [[4.9691, -0.0122, -0.0160], [1.6652, 4.6818, 0.0160], [-3.0209, -2.7557, 2.8236]],
  "species": ["Au", "Tc", "Tc", "Ag"],
  "frac_coords": [[0.7563, 0.2563, 0.5000], [0.0284, 0.0284, 0.0000], [0.2235, 0.7235, 0.5000], [0.4919, 0.4919, 0.0000]]
}

---

(7)
{
  "formula": "TcAgAu2",
  "functional": "PBE-GGA",
  "state": "optimized geometry",
  "dft_energy_ev_per_atom": -4.65,
  "formation_energy_ev_per_atom": 0.297,
  "lattice": [[5.0777, -0.0245, 0.0000], [-1.2915, 4.9107, 0.0000], [0.0000, 0.0000, 2.7441]],
  "species": ["Tc", "Au", "Au", "Ag"],
  "frac_coords": [[0.5000, 0.0000, 0.5000], [0.0000, 0.0000, 0.0000], [0.5000, 0.5000, 0.0000], [0.0000, 0.5000, 0.5000]]
}

---

(8)
{
  "formula": "Tc2AgAu",
  "functional": "PBE-GGA",
  "state": "optimized geometry",
  "dft_energy_ev_per_atom": -6.22,
  "formation_energy_ev_per_atom": 0.498,
  "lattice": [[4.4599, 0.0000, 0.0000], [0.0000, 2.7317, 0.0192], [0.0000, 2.6976, 5.3402]],
  "species": ["Tc", "Tc", "Au", "Ag"],
  "frac_coords": [[0.0000, 0.9750, 0.0253], [0.0000, 0.5250, 0.4747], [0.5000, 0.7500, 0.7500], [0.5000, 0.2500, 0.2500]]
}